Here is crystalline Gd3Mg at its relaxed geometry from Alexandria. Energies are from PBE.

Cell lengths 5.533, 5.533, 5.533 Å; angles 60.00, 60.00, 60.00 degrees
Positions (direct):
Gd 0.000 0.000 0.000
Gd 0.250 0.250 0.250
Gd 0.750 0.750 0.750
Mg 0.500 0.500 0.500

## Properties
- total energy (eV/atom) = -10.916
- DFT formation energy (eV/atom) = 0.0436
- D(E_F) (states/eV/cell) = 7.41

Here is crystalline Hf3BeV at its relaxed geometry from Alexandria. Energies are from PBE.

Cell lengths 4.793, 4.793, 4.793 Å; angles 90.00, 90.00, 90.00 degrees
Positions (direct):
Hf 0.000 0.000 0.500
Hf 0.000 0.500 0.000
Hf 0.500 0.000 0.000
Be 0.500 0.500 0.500
V 0.000 0.000 0.000

## Properties
- total energy (eV/atom) = -7.482
- DFT formation energy (eV/atom) = 1.0587
- relative energy among the computed polymorphs (eV per formula unit) = 2.30
- D(E_F) (states/eV/cell) = 5.59

Here is crystalline La6Te3PS2 at its relaxed geometry from Alexandria. Energies are from PBE.

Cell lengths 7.497, 7.497, 7.791 Å; angles 99.24, 99.24, 119.99 degrees
Positions (direct):
La 0.071 0.402 0.212
La 0.260 0.260 0.788
La 0.402 0.071 0.212
La 0.598 0.929 0.788
La 0.740 0.740 0.212
La 0.929 0.598 0.788
Te 0.167 0.833 0.500
Te 0.500 0.500 0.500
Te 0.833 0.167 0.500
P 0.000 0.000 0.000
S 0.333 0.667 0.000
S 0.667 0.333 0.000

## Properties
- total energy (eV/atom) = -6.203
- D(E_F) (states/eV/cell) = 5.35